Density functional theory data (PBE) for an optimized crystal structure of CuAsIO2.

Cell: 3.774 6.718 3.774 Å, 90.00 90.00 90.00°
Atoms (fractional coordinates):
I 0.000 0.500 0.000
As 0.000 0.000 0.000
O 0.000 0.000 0.500
O 0.500 0.000 0.000
Cu 0.500 0.500 0.500

## Properties
* energy relative to the lowest polymorph listed for this composition: 0 kJ/mol of formula units
* calculated volume: 95.7 Å³ per cell
* SG: P4/mmm (123)
* calculated total energy: -21.2 eV/cell
* formation energy (no corrections): -0.188 eV/atom